This record from the Alexandria database describes a geometry-optimized Cs3Tl2Br2F3 structure. The functional is PBE.

Values from the calculation:
Space-group type: I4/mmm, No. 139
ΔE_f (raw), kJ/mol of formula units: -1699.7
Electronic total energy, eV/atom: -3.387
Magnetic moment, μB/f.u.: 0.00

Cell lengths 5.178, 5.178, 15.017 Å; angles 99.93, 99.93, 90.00 degrees
Fractional positions:
Cs (0.598, 0.598, 0.195)
Cs (0.402, 0.402, 0.805)
Cs (0.000, 0.000, 0.000)
Tl (0.810, 0.810, 0.619)
Tl (0.190, 0.190, 0.381)
Br (0.750, 0.250, 0.500)
Br (0.250, 0.750, 0.500)
F (0.906, 0.906, 0.811)
F (0.500, 0.500, 0.000)
F (0.094, 0.094, 0.189)